Entry 1:
{"formula": "Os2PdBr", "functional": "GGA-PBE", "state": "relaxed", "lattice_angstrom": [[3.823, 0.000, 0.000], [0.000, 3.823, 0.000], [1.911, 1.911, 9.981]], "species": ["Os", "Os", "Os", "Os", "Br", "Br", "Pd", "Pd"], "fractional_positions": [[0.693, 0.125, 0.250], [0.057, 0.625, 0.250], [0.375, 0.307, 0.750], [0.875, 0.943, 0.750], [0.500, 0.500, 0.000], [0.250, 0.750, 0.500], [0.000, 0.000, 0.000], [0.750, 0.250, 0.500]], "polymorph_energy_mev_per_atom": 0.0, "formation_energy_uncorrected_ev_per_fu": 4.7}


Entry 2:
{"formula": "OsPdBr3", "functional": "GGA-PBE", "state": "relaxed", "lattice_angstrom": [[-1.082, 4.941, -0.406], [-3.537, -0.479, 3.607], [3.473, 1.052, 3.546]], "species": ["Os", "Br", "Br", "Br", "Pd"], "fractional_positions": [[0.000, 0.000, 0.000], [0.000, 0.500, 0.000], [0.000, 0.000, 0.500], [0.500, 0.000, 0.000], [0.500, 0.500, 0.500]], "polymorph_energy_mev_per_atom": 0.0, "formation_energy_uncorrected_ev_per_fu": 4.1}


Entry 3:
{"formula": "OsPdBr2", "functional": "GGA-PBE", "state": "relaxed", "lattice_angstrom": [[1.794, 0.000, 9.174], [-0.897, 1.554, 9.174], [-0.897, -1.554, 9.174]], "species": ["Os", "Br", "Br", "Pd"], "fractional_positions": [[0.000, 0.000, 0.000], [0.914, 0.914, 0.914], [0.086, 0.086, 0.086], [0.500, 0.500, 0.500]], "polymorph_energy_mev_per_atom": 90.4, "formation_energy_uncorrected_ev_per_fu": 3.2}


Entry 4:
{"formula": "OsPdBr2", "functional": "GGA-PBE", "state": "relaxed", "lattice_angstrom": [[2.168, 0.000, 7.542], [-1.084, 1.877, 7.542], [-1.084, -1.877, 7.542]], "species": ["Os", "Br", "Br", "Pd"], "fractional_positions": [[0.500, 0.500, 0.500], [0.891, 0.891, 0.891], [0.109, 0.109, 0.109], [0.000, 0.000, 0.000]], "polymorph_energy_mev_per_atom": 0.0, "formation_energy_uncorrected_ev_per_fu": 2.9}


Entry 5:
{"formula": "Os2PdBr", "functional": "GGA-PBE", "state": "relaxed", "lattice_angstrom": [[0.000, 3.147, 3.147], [3.147, 0.000, 3.147], [3.147, 3.147, 0.000]], "species": ["Os", "Os", "Br", "Pd"], "fractional_positions": [[0.250, 0.250, 0.250], [0.750, 0.750, 0.750], [0.000, 0.000, 0.000], [0.500, 0.500, 0.500]], "polymorph_energy_mev_per_atom": 199.0, "formation_energy_uncorrected_ev_per_fu": 5.5}


Entry 6:
{"formula": "OsPdBr2", "functional": "GGA-PBE", "state": "relaxed", "lattice_angstrom": [[6.442, 0.000, 0.000], [0.000, 6.442, 0.000], [3.221, 3.221, 4.409]], "species": ["Os", "Os", "Br", "Br", "Br", "Br", "Pd", "Pd"], "fractional_positions": [[0.000, 0.000, 0.000], [0.750, 0.250, 0.500], [0.648, 0.125, 0.250], [0.102, 0.625, 0.250], [0.375, 0.352, 0.750], [0.875, 0.898, 0.750], [0.500, 0.500, 0.000], [0.250, 0.750, 0.500]], "polymorph_energy_mev_per_atom": 243.0, "formation_energy_uncorrected_ev_per_fu": 3.8}


Entry 7:
{"formula": "OsPd2Br8", "functional": "GGA-PBE", "state": "relaxed", "lattice_angstrom": [[10.099, 0.000, 0.000], [-5.049, 5.054, -0.908], [0.000, -0.208, 7.706]], "species": ["Os", "Pd", "Pd", "Br", "Br", "Br", "Br", "Br", "Br", "Br", "Br"], "fractional_positions": [[0.000, 0.000, 0.000], [0.880, 0.760, 0.594], [0.120, 0.240, 0.406], [0.974, 0.299, 0.155], [0.325, 0.299, 0.155], [0.026, 0.701, 0.845], [0.361, 0.723, 0.521], [0.675, 0.701, 0.845], [0.868, 0.737, 0.252], [0.132, 0.263, 0.748], [0.639, 0.277, 0.479]], "formation_energy_uncorrected_ev_per_fu": -0.3}


Entry 8:
{"formula": "Os3PdBr", "functional": "GGA-PBE", "state": "relaxed", "lattice_angstrom": [[4.526, 0.000, 0.000], [0.000, 4.526, 0.000], [0.000, 0.000, 4.526]], "species": ["Os", "Os", "Os", "Br", "Pd"], "fractional_positions": [[0.000, 0.500, 0.000], [0.000, 0.000, 0.500], [0.500, 0.000, 0.000], [0.000, 0.000, 0.000], [0.500, 0.500, 0.500]], "polymorph_energy_mev_per_atom": 0.0, "formation_energy_uncorrected_ev_per_fu": 12.1}


Entry 9:
{"formula": "OsPdBr2", "functional": "GGA-PBE", "state": "relaxed", "lattice_angstrom": [[0.000, 3.276, 3.276], [3.276, 0.000, 3.276], [3.276, 3.276, 0.000]], "species": ["Os", "Br", "Br", "Pd"], "fractional_positions": [[0.500, 0.500, 0.500], [0.250, 0.250, 0.250], [0.750, 0.750, 0.750], [0.000, 0.000, 0.000]], "polymorph_energy_mev_per_atom": 399.2, "formation_energy_uncorrected_ev_per_fu": 4.5}


Entry 10:
{"formula": "Pr4OsPdBr2", "functional": "GGA-PBE", "state": "relaxed", "lattice_angstrom": [[-0.312, 4.146, 0.660], [-7.007, -0.790, 1.650], [4.230, -0.803, 7.037]], "species": ["Pr", "Pr", "Pr", "Pr", "Os", "Pd", "Br", "Br"], "fractional_positions": [[0.500, 0.245, 0.198], [0.500, 0.755, 0.802], [0.000, 0.280, 0.800], [0.000, 0.720, 0.200], [0.500, 0.500, 0.000], [0.000, 0.000, 0.000], [0.500, 0.000, 0.500], [0.000, 0.500, 0.500]], "formation_energy_uncorrected_ev_per_fu": -7.1}


Entry 11:
{"formula": "RbOsPdBr2", "functional": "GGA-PBE", "state": "relaxed", "lattice_angstrom": [[6.152, 0.000, 0.000], [0.000, 5.319, 0.000], [0.000, 0.000, 6.152]], "species": ["Br", "Br", "Os", "Rb", "Pd"], "fractional_positions": [[0.000, 0.000, 0.500], [0.500, 0.000, 0.000], [0.500, 0.500, 0.500], [0.000, 0.000, 0.000], [0.000, 0.500, 0.000]], "formation_energy_uncorrected_ev_per_fu": 7.9}


Entry 12:
{"formula": "OsPdRu2Br", "functional": "GGA-PBE", "state": "relaxed", "lattice_angstrom": [[-1.565, -1.820, -4.251], [3.478, -3.106, 0.049], [-2.851, -3.154, 2.400]], "species": ["Ru", "Ru", "Os", "Br", "Pd"], "fractional_positions": [[0.000, 0.000, 0.500], [0.500, 0.000, 0.000], [0.500, 0.500, 0.500], [0.000, 0.500, 0.000], [0.000, 0.000, 0.000]], "polymorph_energy_mev_per_atom": 447.4, "formation_energy_uncorrected_ev_per_fu": 12.0}


Entry 13:
{"formula": "OsPdRu2Br", "functional": "GGA-PBE", "state": "relaxed", "lattice_angstrom": [[4.532, 0.000, 0.000], [0.000, 4.564, 0.000], [0.000, 0.000, 4.532]], "species": ["Ru", "Ru", "Os", "Br", "Pd"], "fractional_positions": [[0.000, 0.000, 0.500], [0.500, 0.000, 0.000], [0.500, 0.500, 0.500], [0.000, 0.000, 0.000], [0.000, 0.500, 0.000]], "polymorph_energy_mev_per_atom": 0.0, "formation_energy_uncorrected_ev_per_fu": 9.7}


Entry 14:
{"formula": "OsPd2RuBr", "functional": "GGA-PBE", "state": "relaxed", "lattice_angstrom": [[-1.566, 0.580, -4.598], [-3.802, -2.356, 0.997], [-2.238, 4.156, 1.286]], "species": ["Ru", "Os", "Br", "Pd", "Pd"], "fractional_positions": [[0.000, 0.000, 0.000], [0.500, 0.500, 0.500], [0.000, 0.500, 0.000], [0.000, 0.000, 0.500], [0.500, 0.000, 0.000]], "formation_energy_uncorrected_ev_per_fu": 9.4}